Density functional theory data (PBE) for a relaxed structure of RbInSb3.

Lattice parameters (Å, degrees): 6.0861 6.0861 6.0861 90.00 90.00 90.00
Atoms (fractional coordinates):
Sb (0.0000, 0.5000, 0.0000)
Sb (0.5000, 0.0000, 0.0000)
Sb (0.0000, 0.0000, 0.5000)
Rb (0.0000, 0.0000, 0.0000)
In (0.5000, 0.5000, 0.5000)

Properties
SG ... Pm-3m
Offset from the most stable computed form ... 1.355 eV/atom
N(E_F) ... 10.24 states/eV/f.u.

=====

Density functional theory data (PBE) for a relaxed structure of TeAs2Ir.

Lattice parameters (Å, degrees): 8.0626 8.0626 8.0626 25.55 25.55 25.55
Atoms (fractional coordinates):
Te (0.7500, 0.7500, 0.7500)
As (0.5215, 0.5215, 0.5215)
As (0.9785, 0.9785, 0.9785)
Ir (0.2500, 0.2500, 0.2500)

Properties
SG ... R-3m
N(E_F) ... 2.10 states/eV/f.u.
Energy ... -5.27 eV per atom

=====

Density functional theory data (PBE) for a relaxed structure of La6Tb3Ce.

Lattice parameters (Å, degrees): 10.0053 10.0053 7.0529 44.82 44.82 60.00
Each line ends with the local moment (μB).
Atoms (fractional coordinates):
Tb (0.1489, 0.1489, 0.5534)  0.01
Tb (0.6533, 0.6533, 0.0402)  0.05
Tb (0.3959, 0.3959, 0.8123)  -0.01
La (0.5958, 0.2156, 0.2942)  0.02
La (0.2156, 0.8944, 0.2942)  0.02
La (0.0845, 0.3932, 0.7910)  0.01
La (0.3932, 0.7313, 0.7910)  0.01
La (0.7313, 0.0845, 0.7910)  0.01
La (0.8944, 0.5958, 0.2942)  0.02
Ce (0.8872, 0.8872, 0.3384)  0.45

Properties
SG ... R3
DFT formation energy ... 0.19 eV/atom
N(E_F) ... 20.22 states/eV/f.u.

=====

Density functional theory data (PBE) for a relaxed structure of Ge4IrOs.

Lattice parameters (Å, degrees): 6.0325 6.8964 6.8945 121.72 90.00 90.00
Atoms (fractional coordinates):
Ge (0.7145, 0.6470, 0.3599)
Ge (0.2897, 0.8603, 0.1461)
Ge (0.2855, 0.3530, 0.6401)
Ge (0.2103, 0.3603, 0.1461)
Ge (0.2145, 0.8530, 0.6401)
Ge (0.7855, 0.1470, 0.3599)
Ge (0.7103, 0.1397, 0.8539)
Ge (0.7897, 0.6397, 0.8539)
Os (0.5000, 0.0000, 0.5000)
Os (0.0000, 0.5000, 0.5000)
Ir (0.5000, 0.5000, 0.0000)
Ir (0.0000, 0.0000, 0.0000)

Properties
SG ... P2_1/c
DFT formation energy ... -0.04 eV/atom
N(E_F) ... 3.54 states/eV/f.u.

=====

Density functional theory data (PBE) for a relaxed structure of Er8Tm4Zr.

Lattice parameters (Å, degrees): 7.1732 7.1710 9.7918 89.99 111.56 119.96
Each line ends with the local moment (μB).
Atoms (fractional coordinates):
Tm (0.0000, 0.0000, 0.0000)  -0.07
Tm (0.5000, 0.5000, 0.9999)  -0.03
Tm (0.0000, 0.5000, 0.9999)  -0.03
Tm (0.5000, 0.0000, 0.9999)  -0.03
Zr (0.0001, 0.5000, 0.5001)  0.41
Er (0.5074, 0.2533, 0.3088)  0.05
Er (0.9446, 0.1988, 0.6912)  0.05
Er (0.4927, 0.7467, 0.6912)  0.05
Er (0.4352, 0.2181, 0.6534)  0.02
Er (0.0554, 0.8011, 0.3088)  0.05
Er (0.0550, 0.2538, 0.3087)  0.05
Er (0.5648, 0.7819, 0.3466)  0.02
Er (0.9450, 0.7462, 0.6914)  0.05

Properties
SG ... C2/m
DFT formation energy ... 0.22 eV/atom
N(E_F) ... 18.65 states/eV/f.u.

=====

Density functional theory data (PBE) for a relaxed structure of Os2PbO7F2.

Lattice parameters (Å, degrees): 3.8942 3.8942 10.0129 101.23 101.21 90.00
Atoms (fractional coordinates):
O (0.3999, 0.8995, 0.7998)
O (0.2984, 0.2980, 0.5967)
O (0.5000, 0.4995, 0.0000)
O (0.8999, 0.3994, 0.7998)
O (0.6001, 0.1003, 0.2002)
O (0.7016, 0.7019, 0.4032)
O (0.1001, 0.6004, 0.2002)
Os (0.3872, 0.3869, 0.7745)
Os (0.6128, 0.6132, 0.2255)
F (0.2500, 0.7497, 0.5000)
F (0.7500, 0.2500, 0.5000)
Pb (0.0000, 0.0009, 0.0000)

Properties
SG ... Imm2
N(E_F) ... 3.06 states/eV/f.u.
Energy ... -6.10 eV per atom